Crystalline LaCr2RuO8 at its relaxed geometry. Source: Alexandria via LeMat-Bulk, functional PBE with a Hubbard U.

Output
SG: P2/m
Total magnetization, μB/cell: 4.33
VASP energy, eV per atom: -7.40

Cell: 4.709 4.702 6.594 Å, 89.99 89.99 89.24°
Last column: magnetic moment on the atom in μB.
Fractional positions:
Ru: 0.000 0.000 0.000  -0.80
O: 0.797 0.205 0.796  -0.11
O: 0.300 0.298 0.000  0.01
O: 0.335 0.333 0.500  -0.10
O: 0.665 0.667 0.500  -0.10
Cr: 0.500 0.500 0.237  2.86
La: 0.000 0.000 0.500  0.00
O: 0.203 0.795 0.204  -0.11
O: 0.797 0.205 0.204  -0.11
O: 0.700 0.702 0.000  0.01
Cr: 0.500 0.500 0.763  2.86
O: 0.203 0.795 0.796  -0.11